Compound: RbOs2
Source: OQMD via LeMat-Bulk
Functional: PBE
Structure: relaxed

Unit cell a=6.3267 b=6.3267 c=6.3267 alpha=90.00 beta=90.00 gamma=90.00
Space group Fm-3m (No. 225)
Symmetry-distinct sites (fractional):
Rb: 0.0000 0.0000 0.0000 (multiplicity 4)
Os: 0.2500 0.2500 0.2500 (multiplicity 8)

Calculated values
total DFT energy (no corrections)	-3.95	eV/atom
polymorph energy (0 for the lowest one)	2.2672	eV/atom

***

Compound: RbOs2
Source: OQMD via LeMat-Bulk
Functional: PBE
Structure: relaxed

Unit cell a=7.8308 b=7.8308 c=7.8308 alpha=90.00 beta=90.00 gamma=90.00
Space group Fd-3m (No. 227, origin choice 2)
Symmetry-distinct sites (fractional):
Rb: 0.1250 0.1250 0.1250 (multiplicity 8)
Os: 0.0000 0.0000 0.5000 (multiplicity 16)

Calculated values
total DFT energy (no corrections)	-6.22	eV/atom
polymorph energy (0 for the lowest one)	0.0000	eV/atom

***

Compound: RbReOs
Source: OQMD via LeMat-Bulk
Functional: PBE
Structure: relaxed

Unit cell a=6.3975 b=6.3975 c=6.3975 alpha=90.00 beta=90.00 gamma=90.00
Space group F-43m (No. 216)
Symmetry-distinct sites (fractional):
Rb: 0.0000 0.0000 0.0000 (multiplicity 4)
Re: 0.2500 0.2500 0.2500 (multiplicity 4)
Os: 0.2500 0.2500 0.7500 (multiplicity 4)

Calculated values
total DFT energy (no corrections)	-4.27	eV/atom
polymorph energy (0 for the lowest one)	1.6989	eV/atom

***

Compound: RbReOs
Source: OQMD via LeMat-Bulk
Functional: PBE
Structure: relaxed

Unit cell a=6.3453 b=6.3453 c=6.3453 alpha=90.00 beta=90.00 gamma=90.00
Space group F-43m (No. 216)
Symmetry-distinct sites (fractional):
Rb: 0.0000 0.0000 0.0000 (multiplicity 4)
Re: 0.2500 0.2500 0.7500 (multiplicity 4)
Os: 0.0000 0.0000 0.5000 (multiplicity 4)

Calculated values
total DFT energy (no corrections)	-5.97	eV/atom
polymorph energy (0 for the lowest one)	0.0000	eV/atom

***

Compound: RbOs3S5
Source: OQMD via LeMat-Bulk
Functional: PBE
Structure: relaxed

Unit cell a=5.7120 b=5.7120 c=6.9538 alpha=90.00 beta=90.00 gamma=120.00
Space group P6/mmm (No. 191)
Symmetry-distinct sites (fractional):
Rb: 0.0000 0.0000 0.0000 (multiplicity 1)
Os: 0.0000 0.5000 0.5000 (multiplicity 3)
S: 0.0000 0.0000 0.5000 (multiplicity 1)
S: 0.3333 0.6667 0.2610 (multiplicity 4)

Calculated values
total DFT energy (no corrections)	-6.26	eV/atom

***

Compound: Rb2OsSe2S
Source: OQMD via LeMat-Bulk
Functional: PBE
Structure: relaxed

Unit cell a=13.7451 b=7.0270 c=9.9335 alpha=90.00 beta=122.61 gamma=90.00
Space group C2/m (No. 12)
Symmetry-distinct sites (fractional):
Rb: 0.0867 0.0000 0.3644 (multiplicity 4)
Rb: 0.1913 0.5000 0.8130 (multiplicity 4)
Os: 0.1000 0.5000 0.1539 (multiplicity 4)
Se: 0.1163 0.5000 0.4045 (multiplicity 4)
Se: 0.2033 0.0000 0.7714 (multiplicity 4)
S: 0.0000 0.2485 0.0000 (multiplicity 4)

Calculated values
total DFT energy (no corrections)	-4.62	eV/atom

***

Compound: RbTaOsS5
Source: OQMD via LeMat-Bulk
Functional: PBE
Structure: relaxed

Unit cell a=7.0824 b=7.8111 c=8.6455 alpha=65.78 beta=79.88 gamma=74.13
Space group P-1 (No. 2)
Symmetry-distinct sites (fractional):
Rb: 0.0870 0.3528 0.3054 (multiplicity 2)
Ta: 0.2537 0.9515 0.0319 (multiplicity 2)
Os: 0.4803 0.7101 0.3168 (multiplicity 2)
S: 0.0692 0.7762 0.9853 (multiplicity 2)
S: 0.1742 0.8877 0.3280 (multiplicity 2)
S: 0.2795 0.1441 0.7092 (multiplicity 2)
S: 0.4229 0.2398 0.9802 (multiplicity 2)
S: 0.4564 0.6073 0.6210 (multiplicity 2)

Calculated values
total DFT energy (no corrections)	-6.34	eV/atom

***

Compound: RbSbOs
Source: OQMD via LeMat-Bulk
Functional: PBE
Structure: relaxed

Unit cell a=6.8036 b=6.8036 c=6.8036 alpha=90.00 beta=90.00 gamma=90.00
Space group F-43m (No. 216)
Symmetry-distinct sites (fractional):
Rb: 0.0000 0.0000 0.0000 (multiplicity 4)
Sb: 0.0000 0.0000 0.5000 (multiplicity 4)
Os: 0.2500 0.2500 0.2500 (multiplicity 4)

Calculated values
total DFT energy (no corrections)	-4.25	eV/atom
polymorph energy (0 for the lowest one)	0.0000	eV/atom

***

Compound: RbSbOs
Source: OQMD via LeMat-Bulk
Functional: PBE
Structure: relaxed

Unit cell a=7.3645 b=7.3645 c=7.3645 alpha=90.00 beta=90.00 gamma=90.00
Space group F-43m (No. 216)
Symmetry-distinct sites (fractional):
Rb: 0.0000 0.0000 0.0000 (multiplicity 4)
Sb: 0.2500 0.2500 0.2500 (multiplicity 4)
Os: 0.2500 0.2500 0.7500 (multiplicity 4)

Calculated values
total DFT energy (no corrections)	-3.03	eV/atom
polymorph energy (0 for the lowest one)	1.2148	eV/atom

***

Compound: RbSi5Os3
Source: OQMD via LeMat-Bulk
Functional: PBE
Structure: relaxed

Unit cell a=5.2964 b=5.2964 c=8.1177 alpha=90.00 beta=90.00 gamma=120.00
Space group P6/mmm (No. 191)
Symmetry-distinct sites (fractional):
Rb: 0.0000 0.0000 0.0000 (multiplicity 1)
Si: 0.0000 0.0000 0.5000 (multiplicity 1)
Si: 0.3333 0.6667 0.2565 (multiplicity 4)
Os: 0.0000 0.5000 0.5000 (multiplicity 3)

Calculated values
total DFT energy (no corrections)	-6.57	eV/atom

***

Compound: RbSmOs
Source: OQMD via LeMat-Bulk
Functional: PBE
Structure: relaxed

Unit cell a=7.0452 b=7.0452 c=7.0452 alpha=90.00 beta=90.00 gamma=90.00
Space group F-43m (No. 216)
Symmetry-distinct sites (fractional):
Rb: 0.0000 0.0000 0.0000 (multiplicity 4)
Sm: 0.0000 0.0000 0.5000 (multiplicity 4)
Os: 0.2500 0.2500 0.2500 (multiplicity 4)

Calculated values
total DFT energy (no corrections)	-4.53	eV/atom
polymorph energy (0 for the lowest one)	0.0000	eV/atom

***

Compound: RbTaOs
Source: OQMD via LeMat-Bulk
Functional: PBE
Structure: relaxed

Unit cell a=6.4110 b=6.4110 c=6.4110 alpha=90.00 beta=90.00 gamma=90.00
Space group F-43m (No. 216)
Symmetry-distinct sites (fractional):
Rb: 0.0000 0.0000 0.0000 (multiplicity 4)
Ta: 0.2500 0.2500 0.2500 (multiplicity 4)
Os: 0.2500 0.2500 0.7500 (multiplicity 4)

Calculated values
total DFT energy (no corrections)	-4.68	eV/atom
polymorph energy (0 for the lowest one)	1.5627	eV/atom